Compound: CaAsRh2
Source: the Alexandria database
Functional: PBE
Structure: relaxed

a b c (Å): 4.2909 4.2909 7.1865
angles (deg): 90.00 90.00 90.00
With the nearest neighbours (Å) after each atom.
Space group I4/mmm (No. 139)
Unique sites:
Ca 0.0000 0.0000 0.0000 [2 per cell]  8 Rh 2.80, 4 As 3.03
As 0.0000 0.0000 0.5000 [2 per cell]  8 Rh 2.80, 4 Ca 3.03
Rh 0.0000 0.5000 0.2500 [4 per cell]  4 As 2.80, 4 Ca 2.80, 4 Rh 3.03

Output
DOS(E_F) = 0.30 states/eV per atom
total DFT energy (no corrections) = -5.715 eV per atom
crystal system = tetragonal